[1]
KTaPbS4 | PBE | optimized geometry

Formation energy from raw total energies ... -92.6 kJ/mol of atoms
Symmetry ... P2_1/m (11)
Magnetization ... 0.0 μB per cell
Energy ... -79.770 eV for the cell shown

Cell lengths 7.053, 7.142, 8.710 Å; angles 90.00, 106.65, 90.00 degrees
Sites, in units of the cell vectors:
S: 0.424 0.750 0.150
S: 0.576 0.250 0.850
S: 0.983 0.999 0.725
S: 0.017 0.499 0.275
Pb: 0.235 0.250 0.552
Pb: 0.765 0.750 0.448
S: 0.424 0.750 0.575
K: 0.734 0.750 0.937
S: 0.576 0.250 0.425
S: 0.983 0.501 0.725
K: 0.266 0.250 0.063
Ta: 0.773 0.250 0.683
S: 0.017 0.001 0.275
Ta: 0.227 0.750 0.317

[2]
CeCd6 | PBE | optimized geometry

Symmetry ... Pnma (62)
Magnetization ... 5.0 μB per cell
ΔE to the lowest computed polymorph ... 0 meV/atom
Energy ... -48.591 eV for the cell shown
Energy of formation ... -0.10 eV/atom

Cell lengths 5.997, 9.397, 11.842 Å; angles 90.00, 90.00, 90.00 degrees
Each line ends with the local moment (μB).
Sites, in units of the cell vectors:
Cd: 0.014 0.930 0.308  0.00
Cd: 0.750 0.936 0.082  0.01
Cd: 0.750 0.365 0.653  0.00
Ce: 0.250 0.757 0.058  1.02
Cd: 0.250 0.635 0.347  0.00
Cd: 0.750 0.097 0.476  0.01
Cd: 0.250 0.814 0.762  0.00
Cd: 0.250 0.564 0.582  0.01
Cd: 0.250 0.403 0.976  0.01
Cd: 0.986 0.570 0.808  0.00
Cd: 0.986 0.070 0.692  0.00
Cd: 0.514 0.070 0.692  0.00
Cd: 0.750 0.865 0.847  0.00
Cd: 0.486 0.930 0.308  0.00
Cd: 0.250 0.135 0.153  0.00
Cd: 0.250 0.903 0.524  0.01
Cd: 0.250 0.064 0.918  0.01
Cd: 0.486 0.430 0.192  0.00
Ce: 0.750 0.243 0.942  1.02
Cd: 0.514 0.570 0.808  0.00
Cd: 0.750 0.186 0.238  0.00
Cd: 0.750 0.597 0.024  0.01
Ce: 0.750 0.743 0.558  1.02
Cd: 0.250 0.314 0.738  0.00
Cd: 0.014 0.430 0.192  0.00
Cd: 0.750 0.686 0.262  0.00
Ce: 0.250 0.257 0.442  1.02
Cd: 0.750 0.436 0.418  0.01

[3]
LiPbS2N | PBE | optimized geometry

Formation energy from raw total energies ... 73.0 kJ/mol of atoms
Symmetry ... P4/mmm (123)
Magnetization ... 4.0 μB per cell
ΔE to the lowest computed polymorph ... 43 meV/atom
Energy ... -18.420 eV for the cell shown

Cell lengths 5.284, 5.284, 4.312 Å; angles 90.00, 90.00, 90.00 degrees
Each line ends with the local moment (μB).
Sites, in units of the cell vectors:
Li: 0.000 0.000 0.000  0.02
N: 0.000 0.000 0.500  1.66
S: 0.000 0.500 0.000  0.50
Pb: 0.500 0.500 0.500  -0.02
S: 0.500 0.000 0.000  0.50

[4]
ScRh2 | PBE | optimized geometry

Symmetry ... P-3m1 (164)
Magnetization ... 0.0 μB per cell
Energy ... -21.895 eV for the cell shown
Energy of formation ... -0.29 eV/atom

Cell lengths 2.957, 2.957, 6.445 Å; angles 90.00, 90.00, 120.00 degrees
Sites, in units of the cell vectors:
Rh: 0.000 0.000 0.014
Sc: 0.667 0.333 0.333
Rh: 0.333 0.667 0.653

[5]
Cr2Ni2S | PBE | optimized geometry

Formation energy from raw total energies ... 29.4 kJ/mol of atoms
Symmetry ... P4/mbm (127)
Magnetization ... 4.7 μB per cell
ΔE to the lowest computed polymorph ... 0 meV/atom
Energy ... -66.826 eV for the cell shown

Cell lengths 5.726, 5.726, 3.827 Å; angles 90.00, 90.00, 90.00 degrees
Each line ends with the local moment (μB).
Sites, in units of the cell vectors:
S: 0.000 0.000 0.000  0.00
Cr: 0.633 0.867 0.500  1.07
Cr: 0.867 0.367 0.500  1.07
Cr: 0.133 0.633 0.500  1.07
Ni: 0.848 0.652 0.000  0.05
S: 0.500 0.500 0.000  0.00
Cr: 0.367 0.133 0.500  1.07
Ni: 0.348 0.848 0.000  0.05
Ni: 0.652 0.152 0.000  0.05
Ni: 0.152 0.348 0.000  0.05

[6]
InRu2Se | PBE | optimized geometry

Formation energy from raw total energies ... 32.3 kJ/mol of atoms
Symmetry ... Fm-3m (225)
Magnetization ... 0.0 μB per cell
ΔE to the lowest computed polymorph ... 197 meV/atom
Energy ... -23.437 eV for the cell shown

Cell lengths 4.514, 4.514, 4.514 Å; angles 60.00, 60.00, 60.00 degrees
Sites, in units of the cell vectors:
Ru: 0.750 0.750 0.750
Ru: 0.250 0.250 0.250
In: 0.500 0.500 0.500
Se: 0.000 0.000 0.000

[7]
HgPbSe2 | PBE | optimized geometry

Formation energy from raw total energies ... -19.4 kJ/mol of atoms
Symmetry ... R3m (160)
Magnetization ... 0.0 μB per cell
ΔE to the lowest computed polymorph ... 100 meV/atom
Energy ... -11.785 eV for the cell shown

Cell lengths 8.137, 8.137, 8.137 Å; angles 31.43, 31.43, 31.43 degrees
Sites, in units of the cell vectors:
Pb: 0.262 0.262 0.262
Se: 0.780 0.780 0.780
Hg: 0.469 0.469 0.469
Se: 0.989 0.989 0.989

[8]
Pr6As3S2Br | PBE | optimized geometry

Formation energy from raw total energies ... -160.7 kJ/mol of atoms
Symmetry ... C2/m (12)
Magnetization ... 0.0 μB per cell
Energy ... -72.544 eV for the cell shown

Cell lengths 4.247, 8.507, 9.490 Å; angles 102.38, 102.93, 90.00 degrees
Sites, in units of the cell vectors:
Br: 0.500 0.000 0.000
S: 0.167 0.332 0.334
Pr: 0.668 0.583 0.337
As: 0.162 0.835 0.324
Pr: 0.003 0.272 0.006
Pr: 0.676 0.092 0.353
As: 0.500 0.500 0.000
Pr: 0.332 0.417 0.663
Pr: 0.324 0.908 0.647
As: 0.838 0.165 0.676
S: 0.833 0.668 0.666
Pr: 0.997 0.728 0.994

[9]
NbInP2O | PBE | optimized geometry

Formation energy from raw total energies ... 191.0 kJ/mol of atoms
Symmetry ... P4/mmm (123)
Magnetization ... 0.2 μB per cell
ΔE to the lowest computed polymorph ... 1209 meV/atom
Energy ... -18.690 eV for the cell shown

Cell lengths 4.770, 5.473, 4.770 Å; angles 90.00, 90.00, 90.00 degrees
Each line ends with the local moment (μB).
Sites, in units of the cell vectors:
In: 0.000 0.000 0.000  0.02
P: 0.000 0.000 0.500  -0.02
P: 0.500 0.000 0.000  -0.01
O: 0.500 0.500 0.500  -0.12
Nb: 0.000 0.500 0.000  -0.06